{
  "formula": "Na3Zn2Sn2",
  "functional": "PBE",
  "state": "relaxed",
  "final_energy_ev_per_atom": -2.180,
  "ef_ev_per_atom": -0.11,
  "m_tot_mub_per_fu": 0.0,
  "space_group": "C2/m",
  "dos_ef_per_ev_atom": 0.21,
  "lattice_angstrom": [[4.179, -2.397, 0.000], [4.179, 2.397, 0.000], [-2.665, 0.000, 8.215]],
  "species": ["Na", "Na", "Na", "Zn", "Zn", "Sn", "Sn"],
  "fractional_positions": [[0.000, 0.000, 0.000], [0.137, 0.137, 0.416], [0.863, 0.863, 0.584], [0.275, 0.275, 0.823], [0.725, 0.725, 0.177], [0.405, 0.405, 0.219], [0.595, 0.595, 0.781]]
}

---

{
  "formula": "BC5",
  "functional": "PBE",
  "state": "relaxed",
  "final_energy_ev_per_atom": -8.527,
  "ef_ev_per_atom": 0.27,
  "m_tot_mub_per_fu": 0.0,
  "space_group": "C2/m",
  "polymorph_energy_mev_per_atom": 64,
  "dos_ef_per_ev_atom": 0.16,
  "lattice_angstrom": [[5.687, -1.284, 0.000], [5.687, 1.284, 0.000], [-1.089, 0.000, 4.964]],
  "species": ["B", "B", "C", "C", "C", "C", "C", "C", "C", "C", "C", "C"],
  "fractional_positions": [[0.051, 0.051, 0.375], [0.949, 0.949, 0.625], [0.047, 0.047, 0.901], [0.290, 0.290, 0.773], [0.292, 0.292, 0.269], [0.368, 0.368, 0.555], [0.374, 0.374, 0.057], [0.626, 0.626, 0.943], [0.632, 0.632, 0.445], [0.708, 0.708, 0.731], [0.710, 0.710, 0.227], [0.953, 0.953, 0.099]]
}

---

{
  "formula": "In3Pb",
  "functional": "PBE",
  "state": "relaxed",
  "final_energy_ev_per_atom": -2.947,
  "ef_ev_per_atom": 0.03,
  "m_tot_mub_per_fu": 0.0,
  "space_group": "I4/mmm",
  "dos_ef_per_ev_atom": 0.60,
  "lattice_angstrom": [[-2.748, 2.748, 3.752], [2.748, -2.748, 3.752], [2.748, 2.748, -3.752]],
  "species": ["In", "In", "In", "Pb"],
  "fractional_positions": [[0.000, 0.000, 0.000], [0.250, 0.750, 0.500], [0.750, 0.250, 0.500], [0.500, 0.500, 0.000]]
}